# Pr6ThCd

Pr6ThCd after structural relaxation (PBE, the Alexandria database).

Cell lengths 5.931, 5.931, 8.719 Å; angles 70.11, 70.11, 90.00 degrees
Atoms (fractional coordinates):
Pr 0.738 0.738 0.524
Pr 0.262 0.262 0.476
Pr 0.886 0.386 0.228
Pr 0.614 0.114 0.772
Pr 0.114 0.614 0.772
Pr 0.386 0.886 0.228
Cd 0.000 0.000 0.000
Th 0.500 0.500 0.000

Summary:
The value obtained for the formation energy is 32 meV/atom. Its total moment is 0.00 μB/f.u. As for the density of states at the Fermi level: 11.91 states/eV/f.u. Its uncorrected energy is -36.8 eV per cell.